Density functional theory data (PBE+U) for an optimized crystal structure of P2WSF.

ΔE to the lowest computed polymorph	0	meV/atom
crystal system	tetragonal

abc: 4.743 4.743 4.603
angles: 90.00 90.00 90.00
Last column: magnetic moment on the atom in μB.
Positions (direct):
W  0.000  0.000  0.000  -0.24
S  0.000  0.000  0.500  0.05
F  0.500  0.500  0.500  0.11
P  0.000  0.500  0.000  0.20
P  0.500  0.000  0.000  0.20